Material: Ba6Na2ZnPt
Method: DFT, PBE
State: optimized geometry

```
Ba6Na2ZnPt
1.0
-2.248 7.676 -4.375
-6.233 -4.573 -4.832
-0.181 -0.281 9.119
Ba Na Zn Pt
6 2 1 1
Direct
0.757 0.758 0.999 Ba
0.757 0.758 0.514 Ba
0.243 0.243 0.000 Ba
0.757 0.243 0.000 Ba
0.242 0.243 0.485 Ba
0.243 0.757 0.000 Ba
0.750 0.251 0.501 Na
0.250 0.751 0.501 Na
0.500 0.500 0.999 Zn
0.000 0.000 0.999 Pt
```

Properties
Its formation energy is -0.206 eV/atom. As for the space group: Cm. Its crystal system is monoclinic.

***

Material: NaSn2O
Method: DFT, PBE
State: optimized geometry

```
NaSn2O
1.0
0.000 3.469 3.469
3.469 0.000 3.469
3.469 3.469 0.000
Na Sn O
1 2 1
Direct
0.500 0.500 0.500 Na
0.250 0.250 0.250 Sn
0.750 0.750 0.750 Sn
0.000 0.000 0.000 O
```

Properties
As for the excess energy over the best structure of this formula in the dataset: 560.3 meV/atom. As for the space group: Fm-3m. Its formation energy (no corrections) is 0.212 eV/atom. Its crystal system is cubic.

***

Material: TbErSiNi
Method: DFT, PBE
State: optimized geometry

```
TbErSiNi
1.0
3.955 0.000 0.000
0.000 4.040 0.000
-1.978 0.000 5.288
Tb Er Si Ni
1 1 1 1
Direct
0.858 0.500 0.716 Tb
0.138 0.000 0.277 Er
0.569 0.500 0.138 Si
0.434 0.000 0.869 Ni
```

Properties
As for the excess energy over the best structure of this formula in the dataset: 0.0 meV/atom. As for the space group: Amm2. Its formation energy (no corrections) is -0.642 eV/atom. Its crystal system is orthorhombic.

***

Material: Pm2TiAs3Pd4
Method: DFT, PBE
State: optimized geometry

```
Pm2TiAs3Pd4
1.0
4.181 0.000 0.000
0.000 4.181 0.000
0.000 0.000 11.060
Pm Ti As Pd
2 1 3 4
Direct
0.500 0.000 0.225 Pm
0.000 0.500 0.775 Pm
0.500 0.500 0.500 Ti
0.000 0.000 0.500 As
0.500 0.000 0.861 As
0.000 0.500 0.139 As
0.500 0.500 0.000 Pd
0.000 0.000 0.000 Pd
0.500 0.000 0.636 Pd
0.000 0.500 0.364 Pd
```

Properties
Its formation energy is -0.853 eV/atom. As for the space group: P-4m2. Its crystal system is tetragonal.

***

Material: CaAl2TlFe
Method: DFT, PBE
State: optimized geometry

```
CaAl2TlFe
1.0
-2.911 -3.284 1.461
3.803 -3.322 0.110
0.889 1.164 4.387
Tl Ca Fe Al
1 1 1 2
Direct
0.000 0.500 0.000 Tl
0.500 0.500 0.500 Ca
0.000 0.000 0.000 Fe
0.000 0.000 0.500 Al
0.500 0.000 0.000 Al
```

Properties
Its formation energy is -0.056 eV/atom. As for the space group: P4/mmm. Its crystal system is tetragonal.

***

Material: Ca6HAu2
Method: DFT, PBE
State: optimized geometry

```
Ca6HAu2
1.0
6.707 0.000 0.196
0.000 7.765 0.000
-0.546 0.000 9.736
Ca H Au
12 2 4
Direct
0.872 0.969 0.255 Ca
0.840 0.682 0.562 Ca
0.826 0.673 0.942 Ca
0.674 0.173 0.558 Ca
0.660 0.182 0.938 Ca
0.628 0.469 0.245 Ca
0.128 0.031 0.745 Ca
0.160 0.318 0.438 Ca
0.174 0.327 0.058 Ca
0.326 0.827 0.442 Ca
0.340 0.818 0.062 Ca
0.372 0.531 0.755 Ca
0.500 0.500 0.000 H
0.000 0.000 0.500 H
0.954 0.385 0.752 Au
0.546 0.885 0.748 Au
0.454 0.115 0.252 Au
0.046 0.615 0.248 Au
```

Properties
As for the space group: P2_1/c. Its crystal system is monoclinic. Its electronic total energy is -53.0 eV per cell.

***

Material: HoNiRh
Method: DFT, PBE
State: optimized geometry

```
HoNiRh
1.0
6.862 0.000 0.000
0.000 6.862 0.000
0.000 0.000 5.305
Ni Rh Ho
4 4 4
Direct
0.293 0.293 0.000 Ni
0.707 0.707 0.500 Ni
0.207 0.793 0.250 Ni
0.793 0.207 0.750 Ni
0.550 0.450 0.750 Rh
0.950 0.950 0.500 Rh
0.050 0.050 0.000 Rh
0.450 0.550 0.250 Rh
0.736 0.264 0.250 Ho
0.764 0.764 0.000 Ho
0.236 0.236 0.500 Ho
0.264 0.736 0.750 Ho
```

Properties
Its formation energy is -0.153 eV/atom. As for the space group: P4_12_12. Its crystal system is tetragonal.

***

Material: Li3ScGe
Method: DFT, PBE
State: optimized geometry

```
Li3ScGe
1.0
5.032 0.000 0.000
0.000 5.032 0.000
0.000 0.000 5.032
Sc Ge Li
1 1 3
Direct
0.000 0.000 0.000 Sc
0.500 0.500 0.500 Ge
0.000 0.500 0.000 Li
0.000 0.000 0.500 Li
0.500 0.000 0.000 Li
```

Properties
Its formation energy is 1.060 eV/atom. As for the excess energy over the best structure of this formula in the dataset: 915.6 meV/atom. As for the space group: Pm-3m. Its crystal system is cubic.